This record from Alexandria via LeMat-Bulk describes an optimized crystal structure of LiCrPO4. The functional is PBE with a Hubbard U.

Unit cell a=5.1990 b=9.7219 c=8.6489 alpha=90.00 beta=125.22 gamma=90.00
Closest atoms and distances in Å follow each position.
Fractional coordinates of all 28 atoms:
Li  0.2260  0.1789  0.0246  4 O 1.93-2.16
Li  0.2260  0.3211  0.5246  4 O 1.93-2.16
Li  0.7740  0.6789  0.4754  4 O 1.93-2.16
Li  0.7740  0.8211  0.9754  4 O 1.93-2.16
Cr  0.2362  0.6142  0.9773  4 O 2.05-2.22
Cr  0.2362  0.8858  0.4773  4 O 2.05-2.22
Cr  0.7638  0.1142  0.5227  4 O 2.05-2.22
Cr  0.7638  0.3858  0.0227  4 O 2.05-2.22
P  0.0784  0.5942  0.2665  4 O 1.54-1.59
P  0.0784  0.9058  0.7665  4 O 1.54-1.59
P  0.9216  0.0942  0.2335  4 O 1.54-1.59
P  0.9216  0.4058  0.7335  4 O 1.54-1.59
O  0.0678  0.0603  0.8077  1 P 1.55
O  0.0678  0.4397  0.3077  1 P 1.55
O  0.0846  0.6861  0.4136  1 P 1.54
O  0.0846  0.8139  0.9136  1 P 1.54
O  0.2332  0.1121  0.4417  1 P 1.59
O  0.2332  0.3879  0.9417  1 P 1.59
O  0.3589  0.6303  0.2556  1 P 1.55
O  0.3589  0.8697  0.7556  1 P 1.55
O  0.6411  0.1303  0.2444  1 P 1.55
O  0.6411  0.3697  0.7444  1 P 1.55
O  0.7668  0.6121  0.0583  1 P 1.59
O  0.7668  0.8879  0.5583  1 P 1.59
O  0.9154  0.1861  0.0864  1 P 1.54
O  0.9154  0.3139  0.5864  1 P 1.54
O  0.9322  0.5603  0.6923  1 P 1.55
O  0.9322  0.9397  0.1923  1 P 1.55

Calculated values
- Density of states at the Fermi level: 0.000 states/eV per atom
- Polymorph energy (0 for the lowest one): 21 meV per atom